Entry from Alexandria: a relaxed structure of KRbNaHg (PBE).

Structure (POSCAR):
```
KRbNaHg
1.0
-3.168 -2.093 3.924
5.396 0.436 0.719
-0.649 8.620 0.237
Rb Hg Na K
1 1 1 1
Direct
0.374 0.050 0.424 Rb
0.830 0.281 0.111 Hg
0.502 0.615 0.116 Na
0.986 0.859 0.845 K
```

Summary:
Calculated total energy in eV per atom: -1.027
ΔE_f in kcal/mol of atoms: -2.432
Total moment in Bohr magnetons per cell: 0.0
Space group: Cm (8)
ΔE to the lowest computed polymorph in meV/atom: 0